(1)
The following is a GGA-PBE calculation of a relaxed Ti3MnSe crystal, from Alexandria.

Summary:
Total magnetization ... 0.00 Bohr magnetons per cell
Energy above the lowest structure with this stoichiometry ... 0 meV per atom

Cell lengths 4.4937, 4.4937, 4.4937 Å; angles 90.00, 90.00, 90.00 degrees
With the nearest neighbours (Å) after each atom.
Fractional coordinates of all 5 atoms:
Ti (0.0000, 0.0000, 0.5000)  2 Mn 2.25
Ti (0.0000, 0.5000, 0.0000)  2 Mn 2.25
Ti (0.5000, 0.0000, 0.0000)  2 Mn 2.25
Mn (0.0000, 0.0000, 0.0000)  6 Ti 2.25
Se (0.5000, 0.5000, 0.5000)  12 Ti 3.18



(2)
The following is a GGA-PBE calculation of a relaxed Ti3MnTl3Se8 crystal, from Alexandria.

Summary:
Total magnetization ... 5.90 Bohr magnetons per cell
Total DFT energy (no corrections) ... -79.9 eV for the cell shown

Cell lengths 8.9822, 8.9822, 8.9822 Å; angles 49.05, 49.05, 49.05 degrees
With the nearest neighbours (Å) after each atom.
Fractional coordinates of all 15 atoms:
Ti (0.0000, 0.5000, 0.5000)  6 Se 2.60-2.62
Ti (0.5000, 0.0000, 0.5000)  6 Se 2.60-2.62
Ti (0.5000, 0.5000, 0.0000)  6 Se 2.60-2.62
Mn (0.0000, 0.0000, 0.0000)  6 Se 2.62
Tl (0.0000, 0.0000, 0.5000)  6 Se 3.26-3.29
Tl (0.0000, 0.5000, 0.0000)  6 Se 3.26-3.29
Tl (0.5000, 0.0000, 0.0000)  6 Se 3.26-3.29
Se (0.2301, 0.2301, 0.7257)  2 Ti 2.60, 1 Mn 2.62
Se (0.2301, 0.7257, 0.2301)  2 Ti 2.60, 1 Mn 2.62
Se (0.2702, 0.2702, 0.2702)  3 Ti 2.62
Se (0.2743, 0.7699, 0.7699)  2 Ti 2.60, 1 Mn 2.62
Se (0.7257, 0.2301, 0.2301)  2 Ti 2.60, 1 Mn 2.62
Se (0.7298, 0.7298, 0.7298)  3 Ti 2.62
Se (0.7699, 0.2743, 0.7699)  2 Ti 2.60, 1 Mn 2.62
Se (0.7699, 0.7699, 0.2743)  2 Ti 2.60, 1 Mn 2.62



(3)
The following is a GGA-PBE calculation of a relaxed Ti2MnTl3Se6 crystal, from Alexandria.

Summary:
Total magnetization ... 4.72 Bohr magnetons per cell
Total DFT energy (no corrections) ... -61.7 eV for the cell shown

Cell lengths 6.4607, 6.4607, 8.0853 Å; angles 90.02, 90.02, 119.89 degrees
With the nearest neighbours (Å) after each atom.
Fractional coordinates of all 12 atoms:
Ti (0.1663, 0.8337, 0.0000)  6 Se 2.60
Ti (0.8337, 0.1663, 0.0000)  6 Se 2.60
Mn (0.5000, 0.5000, 0.0000)  6 Se 2.63
Tl (0.1668, 0.8332, 0.5000)  6 Se 3.35, 6 Tl 3.73-3.74
Tl (0.5000, 0.5000, 0.5000)  6 Se 3.37, 6 Tl 3.73-3.74
Tl (0.8332, 0.1668, 0.5000)  6 Se 3.35, 6 Tl 3.73-3.74
Se (0.1629, 0.1629, 0.1822)  2 Ti 2.60, 1 Mn 2.63
Se (0.1629, 0.4997, 0.8184)  2 Ti 2.60, 1 Mn 2.63
Se (0.4997, 0.1629, 0.8184)  2 Ti 2.60, 1 Mn 2.63
Se (0.5003, 0.8371, 0.1816)  2 Ti 2.60, 1 Mn 2.63
Se (0.8371, 0.5003, 0.1816)  2 Ti 2.60, 1 Mn 2.63
Se (0.8371, 0.8371, 0.8178)  2 Ti 2.60, 1 Mn 2.63



(4)
The following is a GGA-PBE calculation of a relaxed TiMn2Tl2Se4 crystal, from Alexandria.

Summary:
Total magnetization ... 7.80 Bohr magnetons per cell
Total DFT energy (no corrections) ... -50.0 eV for the cell shown

Cell lengths 7.5545, 7.5545, 7.8962 Å; angles 106.41, 106.41, 29.82 degrees
With the nearest neighbours (Å) after each atom.
Fractional coordinates of all 9 atoms:
Ti (0.0000, 0.0000, 0.0000)  6 Se 2.68-2.70
Mn (0.3310, 0.3310, 0.0361)  4 Se 2.43-2.60
Mn (0.6690, 0.6690, 0.9639)  4 Se 2.43-2.60
Tl (0.1359, 0.1359, 0.5713)  7 Se 3.37-3.47, 2 Mn 3.57
Tl (0.8641, 0.8641, 0.4287)  7 Se 3.37-3.47, 2 Mn 3.57
Se (0.1894, 0.1894, 0.1737)  3 Mn 2.51-2.60, 1 Ti 2.70
Se (0.4942, 0.4942, 0.2304)  1 Mn 2.43, 2 Ti 2.68
Se (0.5058, 0.5058, 0.7696)  1 Mn 2.43, 2 Ti 2.68
Se (0.8106, 0.8106, 0.8263)  3 Mn 2.51-2.60, 1 Ti 2.70



(5)
The following is a GGA-PBE calculation of a relaxed Ti2MnVSe crystal, from Alexandria.

Summary:
Total magnetization ... 0.00 Bohr magnetons per cell
Total DFT energy (no corrections) ... -35.9 eV for the cell shown

Cell lengths 4.5797, 4.5797, 4.1935 Å; angles 90.00, 90.00, 90.00 degrees
With the nearest neighbours (Å) after each atom.
Fractional coordinates of all 5 atoms:
Ti (0.0000, 0.5000, 0.0000)  2 Mn 2.29
Ti (0.5000, 0.0000, 0.0000)  2 Mn 2.29
Mn (0.0000, 0.0000, 0.0000)  2 V 2.10, 4 Ti 2.29
V (0.0000, 0.0000, 0.5000)  2 Mn 2.10
Se (0.5000, 0.5000, 0.5000)  8 Ti 3.10, 4 V 3.24



(6)
The following is a GGA-PBE calculation of a relaxed Mn5TlSe8 crystal, from Alexandria.

Summary:
Total magnetization ... 18.48 Bohr magnetons per cell
Total DFT energy (no corrections) ... -82.4 eV for the cell shown

Cell lengths 9.6329, 9.6329, 9.0229 Å; angles 104.70, 104.70, 22.01 degrees
With the nearest neighbours (Å) after each atom.
Fractional coordinates of all 14 atoms:
Mn (0.0000, 0.0000, 0.0000)  6 Se 2.52-2.62
Mn (0.0467, 0.0467, 0.3511)  6 Se 2.52-2.66
Mn (0.3421, 0.3421, 0.0122)  6 Se 2.51-2.52
Mn (0.6374, 0.6374, 0.6733)  6 Se 2.52-2.66
Mn (0.6841, 0.6841, 0.0244)  6 Se 2.52-2.62
Tl (0.8412, 0.8412, 0.5120)  10 Se 3.50-3.67, 2 Tl 3.68
Se (0.1026, 0.1026, 0.8550)  5 Mn 2.61-2.66
Se (0.1760, 0.1760, 0.5185)  3 Mn 2.52-2.53
Se (0.2570, 0.2570, 0.1841)  3 Mn 2.51-2.52
Se (0.4272, 0.4272, 0.8402)  3 Mn 2.51-2.52
Se (0.5082, 0.5082, 0.5058)  3 Mn 2.52-2.53
Se (0.5815, 0.5815, 0.1694)  5 Mn 2.61-2.66
Se (0.7707, 0.7707, 0.8478)  4 Mn 2.52-2.60
Se (0.9135, 0.9135, 0.1766)  4 Mn 2.52-2.60



Please write out number 3 again, unchanged.
The following is a GGA-PBE calculation of a relaxed Ti2MnTl3Se6 crystal, from Alexandria.

Summary:
Total magnetization ... 4.72 Bohr magnetons per cell
Total DFT energy (no corrections) ... -61.7 eV for the cell shown

Cell lengths 6.4607, 6.4607, 8.0853 Å; angles 90.02, 90.02, 119.89 degrees
With the nearest neighbours (Å) after each atom.
Fractional coordinates of all 12 atoms:
Ti (0.1663, 0.8337, 0.0000)  6 Se 2.60
Ti (0.8337, 0.1663, 0.0000)  6 Se 2.60
Mn (0.5000, 0.5000, 0.0000)  6 Se 2.63
Tl (0.1668, 0.8332, 0.5000)  6 Se 3.35, 6 Tl 3.73-3.74
Tl (0.5000, 0.5000, 0.5000)  6 Se 3.37, 6 Tl 3.73-3.74
Tl (0.8332, 0.1668, 0.5000)  6 Se 3.35, 6 Tl 3.73-3.74
Se (0.1629, 0.1629, 0.1822)  2 Ti 2.60, 1 Mn 2.63
Se (0.1629, 0.4997, 0.8184)  2 Ti 2.60, 1 Mn 2.63
Se (0.4997, 0.1629, 0.8184)  2 Ti 2.60, 1 Mn 2.63
Se (0.5003, 0.8371, 0.1816)  2 Ti 2.60, 1 Mn 2.63
Se (0.8371, 0.5003, 0.1816)  2 Ti 2.60, 1 Mn 2.63
Se (0.8371, 0.8371, 0.8178)  2 Ti 2.60, 1 Mn 2.63